# 1
# FePRhCl2 (SCAN, single point on PBEsol structure)
data_FePRhCl2
_cell_length_a 4.378
_cell_length_b 4.396
_cell_length_c 4.396
_cell_angle_alpha 90.00
_cell_angle_beta 90.00
_cell_angle_gamma 90.00
_symmetry_space_group_name_H-M 'P 1'
_symmetry_Int_Tables_number 1
loop_
_symmetry_equiv_pos_as_xyz
'x,y,z'
loop_
_atom_site_label
_atom_site_fract_x
_atom_site_fract_y
_atom_site_fract_z
Fe1 0.000 0.000 0.000
P1 0.500 0.000 0.000
Rh1 0.500 0.500 0.500
Cl1 0.000 0.000 0.500
Cl2 0.000 0.500 0.000
# **Final energy**: -15.03 eV/atom
# **DOS at the Fermi energy**: 4.2 states/eV per cell
# **V**: 16.9 Å³/atom



# 2
# BaBe2Rh (SCAN, single point on PBEsol structure)
data_BaBe2Rh
_cell_length_a 3.947
_cell_length_b 3.937
_cell_length_c 6.019
_cell_angle_alpha 108.56
_cell_angle_beta 90.00
_cell_angle_gamma 120.08
_symmetry_space_group_name_H-M 'P 1'
_symmetry_Int_Tables_number 1
loop_
_symmetry_equiv_pos_as_xyz
'x,y,z'
loop_
_atom_site_label
_atom_site_fract_x
_atom_site_fract_y
_atom_site_fract_z
Rh1 0.000 0.000 0.500
Be1 0.319 0.637 0.454
Be2 0.681 0.363 0.546
Ba1 0.500 0.000 0.000
# **Final energy**: -20.78 eV/atom
# **DOS at the Fermi energy**: 1.8 states/eV per cell
# **ΔE to the lowest computed polymorph**: 0 meV per atom
# **Calculated formation energy**: -275 meV per atom
# **V**: 18.8 Å³/atom



# 3
# Y2CrOs (SCAN, single point on PBEsol structure)
data_Y2CrOs
_cell_length_a 3.247
_cell_length_b 3.984
_cell_length_c 6.728
_cell_angle_alpha 90.00
_cell_angle_beta 102.39
_cell_angle_gamma 90.00
_symmetry_space_group_name_H-M 'P 1'
_symmetry_Int_Tables_number 1
loop_
_symmetry_equiv_pos_as_xyz
'x,y,z'
loop_
_atom_site_label
_atom_site_fract_x
_atom_site_fract_y
_atom_site_fract_z
Y1 0.594 0.500 0.318
Y2 0.918 0.000 0.932
Os1 0.359 0.500 0.702
Cr1 0.129 0.000 0.548
# **Final energy**: -36.32 eV/atom
# **DOS at the Fermi energy**: 2.2 states/eV per cell
# **ΔE to the lowest computed polymorph**: 163 meV per atom
# **Calculated formation energy**: 167 meV per atom
# **V**: 21.3 Å³/atom



# 4
# LiCa2Cu2 (SCAN, single point on PBEsol structure)
data_LiCa2Cu2
_cell_length_a 3.963
_cell_length_b 7.488
_cell_length_c 7.488
_cell_angle_alpha 90.00
_cell_angle_beta 90.00
_cell_angle_gamma 90.00
_symmetry_space_group_name_H-M 'P 1'
_symmetry_Int_Tables_number 1
loop_
_symmetry_equiv_pos_as_xyz
'x,y,z'
loop_
_atom_site_label
_atom_site_fract_x
_atom_site_fract_y
_atom_site_fract_z
Ca1 0.500 0.823 0.323
Ca2 0.500 0.677 0.823
Ca3 0.500 0.323 0.177
Ca4 0.500 0.177 0.677
Cu1 0.000 0.614 0.114
Cu2 0.000 0.386 0.886
Cu3 0.000 0.886 0.614
Cu4 0.000 0.114 0.386
Li1 0.000 0.500 0.500
Li2 0.000 0.000 0.000
# **Final energy**: -10.49 eV/atom
# **DOS at the Fermi energy**: 4.9 states/eV per cell
# **Calculated formation energy**: -69 meV per atom
# **V**: 22.2 Å³/atom



# 5
# AgPPt (SCAN, single point on PBEsol structure)
data_AgPPt
_cell_length_a 4.212
_cell_length_b 4.212
_cell_length_c 4.212
_cell_angle_alpha 60.00
_cell_angle_beta 60.00
_cell_angle_gamma 60.00
_symmetry_space_group_name_H-M 'P 1'
_symmetry_Int_Tables_number 1
loop_
_symmetry_equiv_pos_as_xyz
'x,y,z'
loop_
_atom_site_label
_atom_site_fract_x
_atom_site_fract_y
_atom_site_fract_z
Pt1 0.750 0.750 0.750
P1 0.500 0.500 0.500
Ag1 0.000 0.000 0.000
# **Final energy**: -37.16 eV/atom
# **DOS at the Fermi energy**: 1.8 states/eV per cell
# **ΔE to the lowest computed polymorph**: 277 meV per atom
# **Calculated formation energy**: 163 meV per atom
# **V**: 17.6 Å³/atom



# 6
# Ba2TlCu (SCAN, single point on PBEsol structure)
data_Ba2TlCu
_cell_length_a 4.198
_cell_length_b 5.392
_cell_length_c 6.851
_cell_angle_alpha 89.98
_cell_angle_beta 90.00
_cell_angle_gamma 90.00
_symmetry_space_group_name_H-M 'P 1'
_symmetry_Int_Tables_number 1
loop_
_symmetry_equiv_pos_as_xyz
'x,y,z'
loop_
_atom_site_label
_atom_site_fract_x
_atom_site_fract_y
_atom_site_fract_z
Cu1 0.500 0.500 0.000
Ba1 0.500 0.500 0.500
Ba2 0.000 0.000 0.000
Tl1 0.000 0.000 0.500
# **Final energy**: -41.70 eV/atom
# **DOS at the Fermi energy**: 3.2 states/eV per cell
# **Calculated formation energy**: -35 meV per atom
# **V**: 38.8 Å³/atom



# 7
# CdPtSe2 (SCAN, single point on PBEsol structure)
data_CdPtSe2
_cell_length_a 3.691
_cell_length_b 4.440
_cell_length_c 6.186
_cell_angle_alpha 111.03
_cell_angle_beta 107.36
_cell_angle_gamma 90.00
_symmetry_space_group_name_H-M 'P 1'
_symmetry_Int_Tables_number 1
loop_
_symmetry_equiv_pos_as_xyz
'x,y,z'
loop_
_atom_site_label
_atom_site_fract_x
_atom_site_fract_y
_atom_site_fract_z
Se1 0.655 0.655 0.309
Se2 0.345 0.345 0.691
Cd1 0.500 0.000 0.000
Pt1 0.000 0.500 0.000
# **Final energy**: -35.61 eV/atom
# **DOS at the Fermi energy**: 0.3 states/eV per cell
# **V**: 22.4 Å³/atom



# 8
# KOsCl2 (SCAN, single point on PBEsol structure)
data_KOsCl2
_cell_length_a 4.003
_cell_length_b 4.003
_cell_length_c 6.341
_cell_angle_alpha 71.60
_cell_angle_beta 71.60
_cell_angle_gamma 60.00
_symmetry_space_group_name_H-M 'P 1'
_symmetry_Int_Tables_number 1
loop_
_symmetry_equiv_pos_as_xyz
'x,y,z'
loop_
_atom_site_label
_atom_site_fract_x
_atom_site_fract_y
_atom_site_fract_z
Os1 0.000 0.000 0.000
Cl1 0.280 0.280 0.160
Cl2 0.720 0.720 0.840
K1 0.500 0.500 0.500
# **Final energy**: -24.08 eV/atom
# **DOS at the Fermi energy**: 0.8 states/eV per cell
# **ΔE to the lowest computed polymorph**: 0 meV per atom
# **V**: 20.5 Å³/atom



# 9
# Cd3Cu (SCAN, single point on PBEsol structure)
data_Cd3Cu
_cell_length_a 2.931
_cell_length_b 2.931
_cell_length_c 10.006
_cell_angle_alpha 81.58
_cell_angle_beta 81.58
_cell_angle_gamma 60.00
_symmetry_space_group_name_H-M 'P 1'
_symmetry_Int_Tables_number 1
loop_
_symmetry_equiv_pos_as_xyz
'x,y,z'
loop_
_atom_site_label
_atom_site_fract_x
_atom_site_fract_y
_atom_site_fract_z
Cu1 0.500 0.500 0.500
Cd1 0.760 0.760 0.719
Cd2 0.000 0.000 0.000
Cd3 0.240 0.240 0.281
# **Final energy**: -26.49 eV/atom
# **DOS at the Fermi energy**: 1.5 states/eV per cell
# **Calculated formation energy**: 117 meV per atom
# **V**: 18.3 Å³/atom



# 10
# Re2TeW (SCAN, single point on PBEsol structure)
data_Re2TeW
_cell_length_a 3.871
_cell_length_b 3.871
_cell_length_c 5.085
_cell_angle_alpha 112.37
_cell_angle_beta 112.37
_cell_angle_gamma 90.00
_symmetry_space_group_name_H-M 'P 1'
_symmetry_Int_Tables_number 1
loop_
_symmetry_equiv_pos_as_xyz
'x,y,z'
loop_
_atom_site_label
_atom_site_fract_x
_atom_site_fract_y
_atom_site_fract_z
Re1 0.750 0.250 0.500
Re2 0.000 0.000 0.000
Te1 0.500 0.500 0.000
W1 0.250 0.750 0.500
# **Final energy**: -61.42 eV/atom
# **DOS at the Fermi energy**: 3.3 states/eV per cell
# **V**: 16.1 Å³/atom



# 11
# Fe3Tc4 (SCAN, single point on PBEsol structure)
data_Fe3Tc4
_cell_length_a 2.950
_cell_length_b 2.950
_cell_length_c 10.505
_cell_angle_alpha 98.07
_cell_angle_beta 98.07
_cell_angle_gamma 90.00
_symmetry_space_group_name_H-M 'P 1'
_symmetry_Int_Tables_number 1
loop_
_symmetry_equiv_pos_as_xyz
'x,y,z'
loop_
_atom_site_label
_atom_site_fract_x
_atom_site_fract_y
_atom_site_fract_z
Fe1 0.000 0.000 0.000
Fe2 0.720 0.720 0.439
Fe3 0.280 0.280 0.561
Tc1 0.853 0.853 0.706
Tc2 0.429 0.429 0.858
Tc3 0.571 0.571 0.142
Tc4 0.147 0.147 0.294
# **Final energy**: -27.79 eV/atom
# **DOS at the Fermi energy**: 5.4 states/eV per cell
# **ΔE to the lowest computed polymorph**: 0 meV per atom
# **Calculated formation energy**: 14 meV per atom
# **V**: 12.8 Å³/atom



# 12
# LiCr3Tc (SCAN, single point on PBEsol structure)
data_LiCr3Tc
_cell_length_a 4.599
_cell_length_b 4.599
_cell_length_c 4.599
_cell_angle_alpha 90.00
_cell_angle_beta 90.00
_cell_angle_gamma 90.00
_symmetry_space_group_name_H-M 'P 1'
_symmetry_Int_Tables_number 1
loop_
_symmetry_equiv_pos_as_xyz
'x,y,z'
loop_
_atom_site_label
_atom_site_fract_x
_atom_site_fract_y
_atom_site_fract_z
Cr1 0.500 0.000 0.000
Cr2 0.000 0.500 0.000
Cr3 0.000 0.000 0.500
Tc1 0.000 0.000 0.000
Li1 0.500 0.500 0.500
# **Final energy**: -17.56 eV/atom
# **DOS at the Fermi energy**: 3.1 states/eV per cell
# **Calculated formation energy**: 959 meV per atom
# **V**: 19.5 Å³/atom